# 1
This record from the Alexandria database describes SrTaCo2 after structural relaxation. The functional is GGA-PBEsol.

Values from the calculation:
- ΔE to the lowest computed polymorph (eV/atom) = 0.515
- calculated volume (Å³ per cell) = 65.04
- energy of formation (eV/atom) = 0.662

```
data_SrTaCo2
_space_group_name_H-M_alt 'P 1'
_space_group_IT_number 1
_space_group_name_Hall 'P 1'
_cell_length_a 4.5140
_cell_length_b 4.5140
_cell_length_c 4.5140
_cell_angle_alpha 60.00
_cell_angle_beta 60.00
_cell_angle_gamma 60.00
loop_
_atom_site_label
_atom_site_type_symbol
_atom_site_fract_x
_atom_site_fract_y
_atom_site_fract_z
Ta1 Ta 0.5000 0.5000 0.5000
Sr1 Sr 0.0000 0.0000 0.0000
Co1 Co 0.2500 0.2500 0.2500
Co2 Co 0.7500 0.7500 0.7500
```

***

# 2
This record from the Alexandria database describes SrTa2Co after structural relaxation. The functional is GGA-PBEsol.

Values from the calculation:
- ΔE to the lowest computed polymorph (eV/atom) = 0.000
- calculated volume (Å³ per cell) = 76.38
- energy of formation (eV/atom) = 0.549

```
data_SrTa2Co
_space_group_name_H-M_alt 'P 1'
_space_group_IT_number 1
_space_group_name_Hall 'P 1'
_cell_length_a 2.8749
_cell_length_b 2.8749
_cell_length_c 9.2412
_cell_angle_alpha 90.00
_cell_angle_beta 90.00
_cell_angle_gamma 90.00
loop_
_atom_site_label
_atom_site_type_symbol
_atom_site_fract_x
_atom_site_fract_y
_atom_site_fract_z
Ta1 Ta 0.0000 0.0000 0.8222
Co1 Co 0.5000 0.5000 0.0000
Ta2 Ta 0.0000 0.0000 0.1778
Sr1 Sr 0.5000 0.5000 0.5000
```

***

# 3
This record from the Alexandria database describes Sr2CoTc after structural relaxation. The functional is GGA-PBEsol.

Values from the calculation:
- ΔE to the lowest computed polymorph (eV/atom) = 0.094
- calculated volume (Å³ per cell) = 95.14
- energy of formation (eV/atom) = 1.151

```
data_Sr2CoTc
_space_group_name_H-M_alt 'P 1'
_space_group_IT_number 1
_space_group_name_Hall 'P 1'
_cell_length_a 5.1243
_cell_length_b 5.1243
_cell_length_c 5.1243
_cell_angle_alpha 60.00
_cell_angle_beta 60.00
_cell_angle_gamma 60.00
loop_
_atom_site_label
_atom_site_type_symbol
_atom_site_fract_x
_atom_site_fract_y
_atom_site_fract_z
Tc1 Tc 0.5000 0.5000 0.5000
Sr1 Sr 0.7500 0.7500 0.7500
Co1 Co 0.0000 0.0000 0.0000
Sr2 Sr 0.2500 0.2500 0.2500
```

***

# 4
This record from the Alexandria database describes Sr2CoTc after structural relaxation. The functional is GGA-PBEsol.

Values from the calculation:
- ΔE to the lowest computed polymorph (eV/atom) = 0.000
- calculated volume (Å³ per cell) = 86.58
- energy of formation (eV/atom) = 1.057

```
data_Sr2CoTc
_space_group_name_H-M_alt 'P 1'
_space_group_IT_number 1
_space_group_name_Hall 'P 1'
_cell_length_a 4.9658
_cell_length_b 4.9658
_cell_length_c 4.9658
_cell_angle_alpha 60.00
_cell_angle_beta 60.00
_cell_angle_gamma 60.00
loop_
_atom_site_label
_atom_site_type_symbol
_atom_site_fract_x
_atom_site_fract_y
_atom_site_fract_z
Sr1 Sr 0.2500 0.2500 0.2500
Tc1 Tc 0.5000 0.5000 0.5000
Co1 Co 0.7500 0.7500 0.7500
Sr2 Sr 0.0000 0.0000 0.0000
```

***

# 5
This record from the Alexandria database describes SrCoTc2 after structural relaxation. The functional is GGA-PBEsol.

Values from the calculation:
- ΔE to the lowest computed polymorph (eV/atom) = 0.816
- calculated volume (Å³ per cell) = 63.83
- energy of formation (eV/atom) = 1.333

```
data_SrCoTc2
_space_group_name_H-M_alt 'P 1'
_space_group_IT_number 1
_space_group_name_Hall 'P 1'
_cell_length_a 3.1832
_cell_length_b 4.4781
_cell_length_c 4.4781
_cell_angle_alpha 90.00
_cell_angle_beta 90.00
_cell_angle_gamma 90.00
loop_
_atom_site_label
_atom_site_type_symbol
_atom_site_fract_x
_atom_site_fract_y
_atom_site_fract_z
Co1 Co 0.5000 0.5000 0.5000
Sr1 Sr 0.5000 0.0000 0.0000
Tc1 Tc 0.0000 0.0000 0.5000
Tc2 Tc 0.0000 0.5000 0.0000
```

***

# 6
This record from the Alexandria database describes Sr2CoTc after structural relaxation. The functional is GGA-PBEsol.

Values from the calculation:
- ΔE to the lowest computed polymorph (eV/atom) = 0.053
- calculated volume (Å³ per cell) = 91.54
- energy of formation (eV/atom) = 1.110

```
data_Sr2CoTc
_space_group_name_H-M_alt 'P 1'
_space_group_IT_number 1
_space_group_name_Hall 'P 1'
_cell_length_a 3.5757
_cell_length_b 5.1472
_cell_length_c 5.1472
_cell_angle_alpha 104.92
_cell_angle_beta 90.00
_cell_angle_gamma 90.00
loop_
_atom_site_label
_atom_site_type_symbol
_atom_site_fract_x
_atom_site_fract_y
_atom_site_fract_z
Sr1 Sr 0.0000 0.0000 0.5000
Co1 Co 0.5000 0.5000 0.5000
Sr2 Sr 0.0000 0.5000 0.0000
Tc1 Tc 0.5000 0.0000 0.0000
```

***

no.,energy (eV per cell)
1,-27.22
2,-32.49
3,-18.08
4,-18.46
5,-26.78
6,-18.24